Record 1
Below is a geometry-optimized AcMgZn2Rh structure, with properties calculated at the PBE-GGA level.

Output
For the density of states at the Fermi level, the calculation gives 2.975 states/eV per cell. Its crystal system is orthorhombic.

The structure in POSCAR format:
```
AcMgZn2Rh
1.0
4.1177 0.0000 0.0000
0.0000 4.2824 0.0000
-2.0588 -2.1412 6.0808
Zn Ac Rh Mg
2 1 1 1
Direct
0.6972 0.1972 0.3944
0.0523 0.0523 0.1046
0.4289 0.4289 0.8579
0.8391 0.8391 0.6782
0.1946 0.6946 0.3892
```



Record 2
Below is a geometry-optimized AcMg3Ru structure, with properties calculated at the PBE-GGA level.

Output
Its excess energy over the best structure of this formula in the dataset is 118 meV/atom. For the density of states at the Fermi level, the calculation gives 3.441 states/eV per cell. Its crystal system is cubic.

The structure in POSCAR format:
```
AcMg3Ru
1.0
5.0646 0.0000 0.0000
0.0000 5.0646 0.0000
0.0000 0.0000 5.0646
Mg Ac Ru
3 1 1
Direct
0.5000 0.0000 0.0000
0.0000 0.5000 0.0000
0.0000 0.0000 0.5000
0.5000 0.5000 0.5000
0.0000 0.0000 0.0000
```



Record 3
Below is a geometry-optimized AcMgRu structure, with properties calculated at the PBE-GGA level.

Output
Its excess energy over the best structure of this formula in the dataset is 24 meV/atom. For the density of states at the Fermi level, the calculation gives 8.517 states/eV per cell. Its crystal system is tetragonal.

The structure in POSCAR format:
```
AcMgRu
1.0
-1.5904 -0.0261 -4.1741
6.4170 -4.6548 -2.4160
-4.3356 -6.8566 1.6948
Mg Ru Ac
4 4 4
Direct
0.0000 0.1576 0.1026
0.0000 0.8424 0.8974
0.5000 0.1026 0.8424
0.5000 0.8974 0.1576
0.5000 0.3631 0.0671
0.0000 0.0671 0.6369
0.5000 0.6369 0.9329
0.0000 0.9329 0.3631
0.5000 0.7833 0.5789
0.5000 0.2167 0.4211
0.0000 0.4211 0.7833
0.0000 0.5789 0.2167
```



Record 4
Below is a geometry-optimized AcMg3Ru structure, with properties calculated at the PBE-GGA level.

Output
Its excess energy over the best structure of this formula in the dataset is 0 meV/atom. For the density of states at the Fermi level, the calculation gives 7.841 states/eV per cell. Its crystal system is monoclinic.

The structure in POSCAR format:
```
AcMg3Ru
1.0
5.2321 0.0001 -2.1858
0.0000 6.1419 -0.0001
-0.1474 -0.0001 7.6848
Ac Ru Mg
2 2 6
Direct
0.3240 0.4476 0.6772
0.7103 0.9476 0.8834
0.8922 0.4476 0.8078
0.1421 0.9476 0.7528
0.7424 0.1933 0.4801
0.1747 0.9476 0.4048
0.2919 0.2019 0.0805
0.8596 0.4476 0.1558
0.7424 0.7019 0.4801
0.2919 0.6933 0.0804
```



Record 5
Below is a geometry-optimized AcMg2Ru structure, with properties calculated at the PBE-GGA level.

Output
For the density of states at the Fermi level, the calculation gives 5.276 states/eV per cell. Its crystal system is monoclinic.

The structure in POSCAR format:
```
AcMg2Ru
1.0
-1.5348 4.0127 -0.6059
-1.4485 -3.5563 -4.3000
-7.0995 -2.0931 4.1225
Mg Ac Ru
4 2 2
Direct
0.1656 0.3312 0.4409
0.8344 0.6688 0.5591
0.8344 0.6688 0.9409
0.1656 0.3312 0.0591
0.4464 0.8930 0.2500
0.5536 0.1070 0.7500
0.2690 0.5380 0.7500
0.7310 0.4620 0.2500
```



Record 6
Below is a geometry-optimized Ac8MgRu2 structure, with properties calculated at the PBE-GGA level.

Output
For the density of states at the Fermi level, the calculation gives 11.197 states/eV per cell. Its crystal system is monoclinic.

The structure in POSCAR format:
```
Ac8MgRu2
1.0
7.0151 -0.1069 -0.0811
-0.1653 8.0862 0.5085
-0.1653 2.6671 7.6506
Ru Ac Mg
2 8 1
Direct
0.0082 0.2124 0.2124
0.9918 0.7876 0.7876
0.3063 0.3794 0.3794
0.6937 0.6206 0.6206
0.1788 0.4281 0.8649
0.1788 0.8649 0.4281
0.6047 0.1300 0.1300
0.8212 0.1351 0.5719
0.8212 0.5719 0.1351
0.3953 0.8700 0.8700
0.0000 0.0000 0.0000
```



Record 7
Below is a geometry-optimized Ac2MgRu structure, with properties calculated at the PBE-GGA level.

Output
Its excess energy over the best structure of this formula in the dataset is 88 meV/atom. For the density of states at the Fermi level, the calculation gives 2.642 states/eV per cell. Its crystal system is triclinic.

The structure in POSCAR format:
```
Ac2MgRu
1.0
4.2220 0.0047 -0.0006
-2.1066 3.6414 -0.0124
-0.0142 -2.4121 9.0734
Ru Ac Mg
1 2 1
Direct
0.5840 0.9249 0.5523
0.8569 0.4717 0.3724
0.3114 0.3779 0.7321
0.0842 0.9244 0.0522
```



Record 8
Below is a geometry-optimized Ac4Mg2Ru structure, with properties calculated at the PBE-GGA level.

Output
For the density of states at the Fermi level, the calculation gives 10.099 states/eV per cell. Its crystal system is tetragonal.

The structure in POSCAR format:
```
Ac4Mg2Ru
1.0
5.6310 0.0000 0.0000
0.0000 5.6310 0.0000
-2.8155 -2.8155 8.7207
Ac Ru Mg
4 1 2
Direct
0.5000 0.0000 0.0000
0.0000 0.5000 0.0000
0.1713 0.1713 0.3427
0.8287 0.8287 0.6573
0.0000 0.0000 0.0000
0.6304 0.6304 0.2608
0.3696 0.3696 0.7392
```



Record 9
Below is a geometry-optimized AcMg2Ru structure, with properties calculated at the PBE-GGA level.

Output
For the density of states at the Fermi level, the calculation gives 22.784 states/eV per cell. Its crystal system is orthorhombic.

The structure in POSCAR format:
```
AcMg2Ru
1.0
-2.8102 -4.7912 -1.7596
7.1325 -4.2095 0.0710
-2.5888 -4.1272 15.3720
Mg Ac Ru
16 8 8
Direct
0.9544 0.0559 0.2092
0.0456 0.9441 0.7908
0.2102 0.4377 0.9552
0.7898 0.9377 0.0448
0.0456 0.5559 0.7908
0.2898 0.0623 0.4552
0.5456 0.4441 0.7092
0.7898 0.5623 0.0448
0.2898 0.4377 0.4552
0.5456 0.0559 0.7092
0.9544 0.4441 0.2092
0.7102 0.9377 0.5448
0.4544 0.9441 0.2908
0.2102 0.0623 0.9552
0.4544 0.5559 0.2908
0.7102 0.5623 0.5448
0.7760 0.2500 0.3981
0.4496 0.2500 0.1380
0.5504 0.7500 0.8620
0.7240 0.2500 0.8981
0.0504 0.2500 0.6380
0.9496 0.7500 0.3620
0.2240 0.7500 0.6019
0.2760 0.7500 0.1019
0.0383 0.7500 0.9334
0.7744 0.7500 0.6905
0.2744 0.2500 0.8095
0.7256 0.7500 0.1905
0.4617 0.7500 0.4334
0.5383 0.2500 0.5666
0.2256 0.2500 0.3095
0.9617 0.2500 0.0666
```



Record 10
Below is a geometry-optimized Ac2MgRu structure, with properties calculated at the PBE-GGA level.

Output
Its excess energy over the best structure of this formula in the dataset is 0 meV/atom. For the density of states at the Fermi level, the calculation gives 6.661 states/eV per cell. Its crystal system is orthorhombic.

The structure in POSCAR format:
```
Ac2MgRu
1.0
-2.2010 2.4451 2.8223
-3.4373 -6.2665 2.7484
6.9012 -2.0905 3.8644
Mg Ac Ru
2 4 2
Direct
0.0145 0.7500 0.0291
0.9855 0.2500 0.9709
0.3513 0.9997 0.7026
0.3513 0.5003 0.7026
0.6487 0.0003 0.2974
0.6487 0.4997 0.2974
0.8129 0.2500 0.6259
0.1871 0.7500 0.3741
```



Record 11
Below is a geometry-optimized AcMgRu structure, with properties calculated at the PBE-GGA level.

Output
Its excess energy over the best structure of this formula in the dataset is 211 meV/atom. For the density of states at the Fermi level, the calculation gives 2.878 states/eV per cell. Its crystal system is hexagonal.

The structure in POSCAR format:
```
AcMgRu
1.0
4.1061 0.0000 0.0000
0.0000 4.6261 0.0000
0.0000 -2.3131 4.0064
Ru Mg Ac
1 1 1
Direct
0.1663 0.6667 0.3333
0.1669 0.0000 0.0000
0.6668 0.3333 0.6667
```



Record 12
Below is a geometry-optimized Ac12Mg3Ru5 structure, with properties calculated at the PBE-GGA level.

Output
For the density of states at the Fermi level, the calculation gives 78.313 states/eV per cell. Its crystal system is cubic.

The structure in POSCAR format:
```
Ac12Mg3Ru5
1.0
15.9368 0.0000 0.0000
-5.3123 15.0254 0.0000
-5.3123 -7.5127 13.0124
Ac Mg Ru
48 12 20
Direct
0.0935 0.1813 0.4812
0.7998 0.4812 0.3877
0.5935 0.9812 0.6813
0.7002 0.1123 0.0188
0.8187 0.9121 0.2998
0.8877 0.5879 0.9065
0.0188 0.4065 0.8187
0.4812 0.7998 0.8877
0.2002 0.5188 0.6123
0.2998 0.4121 0.8187
0.0879 0.1813 0.2002
0.5188 0.2002 0.1123
0.9065 0.0879 0.8877
0.6123 0.5935 0.9121
0.0879 0.9065 0.3877
0.3877 0.9812 0.7998
0.2998 0.8877 0.9812
0.1813 0.0935 0.9812
0.8187 0.9065 0.0188
0.8877 0.2998 0.4812
0.9121 0.8187 0.7998
0.6813 0.2002 0.5879
0.7002 0.5879 0.1813
0.0935 0.9121 0.1123
0.3187 0.7998 0.4121
0.4121 0.1123 0.5935
0.4121 0.2998 0.3187
0.4065 0.3877 0.5879
0.4812 0.6813 0.0935
0.2002 0.6813 0.0879
0.9065 0.8187 0.5188
0.1123 0.4121 0.0935
0.5879 0.8877 0.4065
0.1813 0.0879 0.7002
0.6813 0.4812 0.5935
0.3187 0.5188 0.4065
0.9121 0.0935 0.6123
0.0188 0.6123 0.7002
0.5879 0.7002 0.6813
0.7998 0.3187 0.9121
0.3877 0.4065 0.0879
0.1123 0.7002 0.5188
0.4065 0.0188 0.3187
0.9812 0.3877 0.2998
0.9812 0.5935 0.1813
0.5188 0.3187 0.9065
0.5935 0.6123 0.4121
0.6123 0.0188 0.2002
0.6250 0.2500 0.3750
0.1250 0.2500 0.8750
0.7500 0.3750 0.1250
0.1250 0.8750 0.7500
0.2500 0.1250 0.3750
0.3750 0.6250 0.2500
0.7500 0.8750 0.6250
0.8750 0.1250 0.2500
0.2500 0.6250 0.8750
0.8750 0.7500 0.1250
0.3750 0.7500 0.6250
0.6250 0.3750 0.7500
0.0000 0.5000 0.5000
0.3750 0.2500 0.1250
0.0000 0.0000 0.5000
0.0000 0.5000 0.0000
0.8750 0.6250 0.7500
0.0000 0.0000 0.0000
0.7500 0.1250 0.8750
0.1250 0.3750 0.2500
0.6250 0.8750 0.2500
0.5000 0.5000 0.0000
0.5000 0.0000 0.5000
0.6250 0.7500 0.8750
0.2500 0.8750 0.1250
0.1250 0.7500 0.3750
0.7500 0.6250 0.3750
0.8750 0.2500 0.6250
0.2500 0.3750 0.6250
0.3750 0.1250 0.7500
0.5000 0.5000 0.5000
0.5000 0.0000 0.0000
```



Q: Which electronic total energy values were calculated for the entries above? A: -3.546; -3.601; -5.105; -3.719; -4.268; -4.890; -4.796; -4.097; -4.270; -4.885; -4.917; -4.927, in eV per atom.
Q: Which energy of formation values were calculated for the entries above? A: -205; 16; -32; -41; -48; -75; -10; 21; -49; -43; 22; 186, in kJ/mol of formula units.